--- w ---
Density functional theory data (GGA-PBE) for Ba8Mg2Hg after structural relaxation.

POSCAR file:
```
Ba8Mg2Hg
1.0
5.896 0.000 -1.794
-1.578 9.129 -5.185
-0.102 -0.370 10.249
Ba Mg Hg
8 2 1
direct
0.655 0.875 0.309 Ba
0.345 0.566 0.691 Ba
0.127 0.127 0.254 Ba
0.000 0.333 0.000 Ba
0.873 0.873 0.746 Ba
0.655 0.434 0.309 Ba
0.345 0.125 0.691 Ba
0.000 0.667 0.000 Ba
0.199 0.699 0.399 Mg
0.801 0.301 0.601 Mg
0.500 0.000 0.000 Hg
```

Output
The size of the total moment is 0.0 μB per formula unit. Its calculated density is 4163 kg/m3.


--- x ---
Density functional theory data (GGA-PBE) for Ba8Mg2Hg after structural relaxation.

POSCAR file:
```
Ba8Mg2Hg
1.0
-3.947 4.634 1.324
-6.515 -5.377 -0.604
5.398 -2.344 9.638
Ba Mg Hg
8 2 1
direct
0.407 0.567 0.813 Ba
0.660 0.963 0.320 Ba
0.795 0.697 0.590 Ba
0.974 0.206 0.947 Ba
0.205 0.303 0.410 Ba
0.340 0.037 0.680 Ba
0.593 0.433 0.187 Ba
0.026 0.794 0.053 Ba
0.817 0.288 0.635 Mg
0.183 0.712 0.365 Mg
0.500 0.000 0.000 Hg
```

Output
The size of the total moment is 0.0 μB per formula unit. Its calculated density is 4109 kg/m3.


Quick look at relative energies in meV per atom: w 60; x 0.